(1)
Nd3Al9Ag2: relaxed, GGA-PBE.

The structure in extended XYZ format:
```
14
Lattice="4.396 0.000 0.000 2.198 8.176 -0.043 2.198 1.811 7.973" Properties=species:S:1:pos:R:3 pbc="T T T"
Nd 0.000 0.000 0.000
Nd 4.396 3.122 2.479
Nd 4.396 6.865 5.451
Al 2.198 4.994 3.965
Al 6.594 9.173 5.591
Al 2.198 0.814 2.339
Al 6.594 7.525 7.667
Al 2.198 2.463 0.263
Al 6.594 7.739 3.225
Al 2.198 2.248 4.705
Al 6.594 4.896 6.807
Al 2.198 5.092 1.123
Ag 4.396 3.616 5.700
Ag 4.396 6.371 2.230
```

Summary:
Its total magnetic moment is 0.0 μB/cell. The total energy comes out at -59.324 eV for the cell shown. The value obtained for the formation energy is -0.4025 eV/atom.

***

(2)
NdAlAg4: relaxed, GGA-PBE.

The structure in extended XYZ format:
```
6
Lattice="5.594 0.000 0.000 2.797 4.845 0.000 2.797 1.615 4.568" Properties=species:S:1:pos:R:3 pbc="T T T"
Nd 2.797 1.615 1.142
Al 0.000 0.000 0.000
Ag 5.594 3.230 0.565
Ag 5.594 1.609 2.857
Ag 6.998 4.040 2.857
Ag 4.191 4.040 2.857
```

Summary:
Its total magnetic moment is 0.0 μB/cell. The total energy comes out at -20.796 eV for the cell shown. The value obtained for the formation energy is -0.1467 eV/atom.

***

(3)
NdAlAg4: relaxed, GGA-PBE.

The structure in extended XYZ format:
```
12
Lattice="-4.996 1.544 0.906 -1.503 -2.632 -3.781 1.987 -6.996 7.204" Properties=species:S:1:pos:R:3 pbc="T T T"
Nd -4.984 -0.786 -2.133
Nd 0.472 -7.299 6.462
Al -1.504 -2.726 4.055
Al 0.242 -4.814 1.711
Ag -1.514 -5.015 5.656
Ag -4.033 -1.206 0.887
Ag -2.998 -3.070 -1.327
Ag -0.479 -6.879 3.442
Ag 1.165 -4.715 4.385
Ag -1.713 -3.042 1.250
Ag -5.677 -3.369 -0.056
Ag -2.799 -5.042 3.079
```

Summary:
Its total magnetic moment is 0.0 μB/cell. The total energy comes out at -40.743 eV for the cell shown. The value obtained for the formation energy is -0.0760 eV/atom.

***

(4)
Nd3Al2Ag3: relaxed, GGA-PBE.

The structure in extended XYZ format:
```
32
Lattice="5.852 0.000 0.000 0.000 8.517 0.000 0.000 0.000 15.757" Properties=species:S:1:pos:R:3 pbc="T T T"
Nd 0.773 3.829 6.200
Nd 3.699 0.430 9.557
Nd 5.080 4.689 14.079
Nd 2.154 8.087 1.678
Nd 5.080 4.689 9.557
Nd 2.154 8.087 6.200
Nd 0.773 3.829 1.678
Nd 3.699 0.430 14.079
Nd 3.643 2.663 3.939
Nd 0.717 1.596 11.818
Nd 2.210 5.854 11.818
Nd 5.136 6.921 3.939
Al 5.092 0.856 6.248
Al 2.165 3.402 9.509
Al 0.761 7.661 14.126
Al 3.687 5.115 1.630
Al 0.761 7.661 9.509
Al 3.687 5.115 6.248
Al 5.092 0.856 1.630
Al 2.165 3.402 14.126
Ag 0.662 1.400 3.939
Ag 3.588 2.858 11.818
Ag 5.190 7.117 11.818
Ag 2.264 5.659 3.939
Ag 3.587 2.668 7.303
Ag 0.661 1.591 8.454
Ag 2.265 5.850 15.182
Ag 5.191 6.926 0.575
Ag 2.265 5.850 8.454
Ag 5.191 6.926 7.303
Ag 3.587 2.668 0.575
Ag 0.661 1.591 15.182
```

Summary:
Its total magnetic moment is 0.0 μB/cell. The total energy comes out at -131.191 eV for the cell shown. The value obtained for the formation energy is -0.3069 eV/atom.